Density functional theory data (PBE) for crystalline BaZrAsO at its relaxed geometry.

a b c (Å): 4.636 4.636 10.167
angles (deg): 90.00 90.00 90.00
Site moments in Bohr magnetons follow the coordinates.
Fractional coordinates of all 8 atoms:
As 0.500 0.000 0.633  0.00
As 0.000 0.500 0.367  0.00
Ba 0.500 0.000 0.110  0.00
Ba 0.000 0.500 0.890  0.00
Zr 0.000 0.000 0.500  0.00
Zr 0.500 0.500 0.500  0.00
O 0.500 0.500 0.000  -0.19
O 0.000 0.000 0.000  -0.19

E_tot   -6.443 eV/atom
E above lowest polymorph   304 meV/atom